(1)
This record from the Alexandria database describes a geometry-optimized CrCoPS2 structure. The functional is PBE.

Unit cell a=4.426 b=4.426 c=4.160 alpha=90.00 beta=90.00 gamma=90.00
Sites, in units of the cell vectors:
Cr 0.000 0.000 0.000
Co 0.500 0.500 0.500
P 0.500 0.500 0.000
S 0.000 0.500 0.500
S 0.500 0.000 0.500

Values from the calculation:
ΔE to the lowest computed polymorph = 0.1202 eV per atom


(2)
This record from the Alexandria database describes a geometry-optimized Pr2Ga3NiRh4 structure. The functional is PBE.

Unit cell a=4.263 b=4.263 c=10.191 alpha=90.00 beta=90.00 gamma=90.00
Sites, in units of the cell vectors:
Pr 0.000 0.500 0.250
Pr 0.500 0.000 0.750
Ga 0.000 0.000 0.000
Ga 0.000 0.500 0.626
Ga 0.500 0.000 0.374
Ni 0.500 0.500 0.000
Rh 0.000 0.000 0.500
Rh 0.000 0.500 0.869
Rh 0.500 0.000 0.131
Rh 0.500 0.500 0.500

Values from the calculation:
ΔH_f (0 K) = -672 meV per atom


(3)
This record from the Alexandria database describes a geometry-optimized PuTcPH structure. The functional is PBE.

Unit cell a=4.012 b=4.012 c=7.232 alpha=90.00 beta=90.00 gamma=90.00
Sites, in units of the cell vectors:
Pu 0.250 0.250 0.150
Pu 0.750 0.750 0.850
Tc 0.250 0.750 0.500
Tc 0.750 0.250 0.500
P 0.250 0.250 0.682
P 0.750 0.750 0.318
H 0.250 0.750 0.000
H 0.750 0.250 0.000

Values from the calculation:
DFT total energy = -0.665 Ry per atom


(4)
This record from the Alexandria database describes a geometry-optimized Rb2GaOsI6 structure. The functional is PBE.

Unit cell a=8.278 b=8.278 c=8.278 alpha=60.00 beta=60.00 gamma=60.00
Sites, in units of the cell vectors:
Rb 0.250 0.250 0.250
Rb 0.750 0.750 0.750
Ga 0.000 0.000 0.000
Os 0.500 0.500 0.500
I 0.267 0.267 0.733
I 0.267 0.733 0.267
I 0.267 0.733 0.733
I 0.733 0.267 0.267
I 0.733 0.267 0.733
I 0.733 0.733 0.267

Values from the calculation:
DFT total energy = -0.226 Ry per atom


How do the records compare in DOS(E_F)? In the order shown, they have 6.44, 7.25, 17.96, 9.38 states/eV/cell.